Entry from Alexandria: crystalline NbRh3 at its relaxed geometry (PBE).

Values from the calculation:
ΔE_f ... -0.512 eV/atom
Total DFT energy (no corrections) ... -0.314 Ha/atom
Calculated volume ... 119 Å³ per cell
Magnetic moment ... 0.000 μB/atom

Lattice parameters (Å, degrees): 5.5572 5.5572 4.4524 90.00 90.00 120.00
With the nearest neighbours (Å) after each atom.
Space group P6_3/mmc (No. 194)
Asymmetric unit:
1 Nb 0.3333 0.6667 0.2500 [2 per cell]  12 Rh 2.76-2.78
2 Rh 0.1646 0.3293 0.7500 [6 per cell]  8 Rh 2.73-2.81, 4 Nb 2.76-2.78

Entry from Alexandria: crystalline RuPt at its relaxed geometry (PBE).

Values from the calculation:
ΔE_f ... 0.217 eV/atom
Total DFT energy (no corrections) ... -0.273 Ha/atom
Calculated volume ... 61 Å³ per cell
Magnetic moment ... 0.358 μB/atom

Lattice parameters (Å, degrees): 3.3283 3.3283 5.4786 90.00 90.00 90.00
With the nearest neighbours (Å) after each atom.
Space group P4/nmm (No. 129, origin choice 2)
Asymmetric unit:
1 Ru 0.2500 0.2500 0.1157 [2 per cell]  6 Pt 2.67-2.81, 4 Ru 2.67
2 Pt 0.2500 0.2500 0.6283 [2 per cell]  6 Ru 2.67-2.81, 4 Pt 2.74

Entry from Alexandria: crystalline Cd2MoPN at its relaxed geometry (PBE).

Values from the calculation:
Formation energy without anion corrections ... 88.3 kJ/mol of atoms
Total DFT energy (no corrections) ... -0.160 Ha/atom
Calculated volume ... 113 Å³ per cell
Magnetic moment ... 0.230 μB/atom

Lattice parameters (Å, degrees): 5.4580 5.4580 3.7832 90.00 90.00 90.00
With the nearest neighbours (Å) after each atom.
Space group P4/mmm (No. 123)
Asymmetric unit:
1 Cd 0.0000 0.5000 0.0000 [2 per cell]  2 Mo 2.73
2 Mo 0.0000 0.0000 0.0000 [1 per cell]  2 N 1.89
3 P 0.5000 0.5000 0.5000 [1 per cell]  8 Cd 3.32
4 N 0.0000 0.0000 0.5000 [1 per cell]  2 Mo 1.89

Entry from Alexandria: crystalline YAgSb2 at its relaxed geometry (PBE).

Values from the calculation:
Formation energy without anion corrections ... -40.5 kJ/mol of atoms
Total DFT energy (no corrections) ... -0.177 Ha/atom
Calculated volume ... 104 Å³ per cell
Magnetic moment ... 0.000 μB/atom

Lattice parameters (Å, degrees): 4.1182 4.1182 6.1223 90.00 90.00 90.00
With the nearest neighbours (Å) after each atom.
Space group P4mm (No. 99)
Asymmetric unit:
1 Y 0.0000 0.0000 0.0000 [1 per cell]  6 Sb 3.00-3.12
2 Ag 0.5000 0.5000 0.3323 [1 per cell]  6 Sb 3.01-3.11
3 Sb 0.0000 0.0000 0.4905 [1 per cell]  2 Y 3.00-3.12, 4 Ag 3.07
4 Sb 0.5000 0.5000 0.8400 [1 per cell]  2 Ag 3.01-3.11, 4 Y 3.07